Record 1
{"formula": "SiSb2Pb2", "functional": "PBE", "state": "relaxed", "raw_formation_energy_ev_per_atom": 0.3118, "total_energy_ev_per_atom": -3.905, "n_ef_per_ev_fu": 2.29, "cell": [[7.249, 0.000, 0.000], [0.000, 7.249, 0.000], [0.000, 0.000, 5.603]], "species": ["Si", "Si", "Sb", "Sb", "Sb", "Sb", "Pb", "Pb", "Pb", "Pb"], "frac_coords": [[0.000, 0.000, 0.000], [0.500, 0.500, 0.000], [0.143, 0.357, 0.000], [0.357, 0.857, 0.000], [0.643, 0.143, 0.000], [0.857, 0.643, 0.000], [0.204, 0.704, 0.500], [0.296, 0.204, 0.500], [0.704, 0.796, 0.500], [0.796, 0.296, 0.500]]}



Record 2
{"formula": "Ca2ZnMo", "functional": "PBE", "state": "relaxed", "total_energy_ev_per_atom": -3.588, "formation_energy_ev_per_atom": 0.439, "n_ef_per_ev_fu": 4.02, "cell": [[-1.800, 2.529, 5.351], [1.800, -2.529, 5.351], [1.800, 2.529, -5.351]], "species": ["Ca", "Ca", "Zn", "Mo"], "frac_coords": [[0.000, 0.000, 0.000], [0.713, 0.213, 0.500], [0.456, 0.456, 0.000], [0.281, 0.781, 0.500]]}



Record 3
{"formula": "CuPbI2", "functional": "PBE", "state": "relaxed", "raw_formation_energy_ev_per_atom": -0.0050, "polymorph_energy_ev_per_atom": 0.048, "total_energy_ev_per_atom": -2.731, "n_ef_per_ev_fu": 2.63, "cell": [[-3.768, 3.768, 5.121], [3.768, -3.768, 5.121], [3.768, 3.768, -5.121]], "species": ["Cu", "Cu", "Pb", "Pb", "I", "I", "I", "I"], "frac_coords": [[0.000, 0.000, 0.000], [0.750, 0.250, 0.500], [0.250, 0.750, 0.500], [0.500, 0.500, 0.000], [0.049, 0.625, 0.924], [0.375, 0.299, 0.424], [0.701, 0.125, 0.076], [0.875, 0.951, 0.576]]}



Record 4
{"formula": "NdHo8Er2", "functional": "PBE", "state": "relaxed", "polymorph_energy_ev_per_atom": 0.033, "total_energy_ev_per_atom": -4.443, "formation_energy_ev_per_atom": 0.149, "n_ef_per_ev_fu": 18.12, "cell": [[9.530, -3.445, 0.000], [9.530, 3.445, 0.000], [-0.271, 0.000, 5.491]], "species": ["Nd", "Ho", "Ho", "Ho", "Ho", "Ho", "Ho", "Ho", "Ho", "Er", "Er"], "frac_coords": [[0.000, 0.000, 0.000], [0.133, 0.599, 0.268], [0.189, 0.189, 0.234], [0.401, 0.867, 0.732], [0.453, 0.453, 0.762], [0.547, 0.547, 0.238], [0.599, 0.133, 0.268], [0.811, 0.811, 0.766], [0.867, 0.401, 0.732], [0.284, 0.284, 0.750], [0.716, 0.716, 0.250]]}